No. 1
A plane-wave DFT calculation with GGA-PBE was carried out for an optimized crystal structure of Lu2WAu.

Magnetic moment ... 0.855 μB per formula unit
Crystal system ... cubic
Symmetry ... F-43m, No. 216
Calculated formation energy ... 0.310 eV/atom

Geometry as CIF:
```
data_Lu2WAu
_chemical_formula_sum 'Lu2 W1 Au1'
_cell_length_a 4.856
_cell_length_b 4.856
_cell_length_c 4.856
_cell_angle_alpha 60.00
_cell_angle_beta 60.00
_cell_angle_gamma 60.00
_symmetry_space_group_name_H-M 'P 1'
_symmetry_Int_Tables_number 1
_symmetry_space_group_name_Hall 'P 1'
loop_
_atom_site_label
_atom_site_type_symbol
_atom_site_fract_x
_atom_site_fract_y
_atom_site_fract_z
Lu1 Lu 0.000 0.000 0.000
Lu2 Lu 0.250 0.250 0.250
W1 W 0.500 0.500 0.500
Au1 Au 0.750 0.750 0.750
```

***

No. 2
A plane-wave DFT calculation with GGA-PBE was carried out for an optimized crystal structure of YLu2Au.

Magnetic moment ... 0.001 μB per formula unit
Crystal system ... cubic
Symmetry ... F-43m, No. 216
Calculated formation energy ... -0.166 eV/atom

Geometry as CIF:
```
data_YLu2Au
_chemical_formula_sum 'Y1 Lu2 Au1'
_cell_length_a 5.216
_cell_length_b 5.216
_cell_length_c 5.216
_cell_angle_alpha 60.00
_cell_angle_beta 60.00
_cell_angle_gamma 60.00
_symmetry_space_group_name_H-M 'P 1'
_symmetry_Int_Tables_number 1
_symmetry_space_group_name_Hall 'P 1'
loop_
_atom_site_label
_atom_site_type_symbol
_atom_site_fract_x
_atom_site_fract_y
_atom_site_fract_z
Y1 Y 0.000 0.000 0.000
Lu1 Lu 0.500 0.500 0.500
Lu2 Lu 0.750 0.750 0.750
Au1 Au 0.250 0.250 0.250
```

***

No. 3
A plane-wave DFT calculation with GGA-PBE was carried out for an optimized crystal structure of Lu2ZnAu.

Magnetic moment ... 0.011 μB per formula unit
Crystal system ... hexagonal
Symmetry ... P6_3/mmc, No. 194
Calculated formation energy ... -0.368 eV/atom

Geometry as CIF:
```
data_Lu2ZnAu
_chemical_formula_sum 'Lu4 Zn2 Au2'
_cell_length_a 3.996
_cell_length_b 3.996
_cell_length_c 13.762
_cell_angle_alpha 90.00
_cell_angle_beta 90.00
_cell_angle_gamma 120.00
_symmetry_space_group_name_H-M 'P 1'
_symmetry_Int_Tables_number 1
_symmetry_space_group_name_Hall 'P 1'
loop_
_atom_site_label
_atom_site_type_symbol
_atom_site_fract_x
_atom_site_fract_y
_atom_site_fract_z
Lu1 Lu 0.333 0.667 0.122
Lu2 Lu 0.333 0.667 0.378
Lu3 Lu 0.667 0.333 0.622
Lu4 Lu 0.667 0.333 0.878
Zn1 Zn 0.000 0.000 0.000
Zn2 Zn 0.000 0.000 0.500
Au1 Au 0.333 0.667 0.750
Au2 Au 0.667 0.333 0.250
```

***

No. 4
A plane-wave DFT calculation with GGA-PBE was carried out for an optimized crystal structure of Lu2ZnAu.

Magnetic moment ... 0.750 μB per formula unit
Crystal system ... cubic
Symmetry ... F-43m, No. 216
Calculated formation energy ... -0.217 eV/atom

Geometry as CIF:
```
data_Lu2ZnAu
_chemical_formula_sum 'Lu2 Zn1 Au1'
_cell_length_a 4.906
_cell_length_b 4.906
_cell_length_c 4.906
_cell_angle_alpha 60.00
_cell_angle_beta 60.00
_cell_angle_gamma 60.00
_symmetry_space_group_name_H-M 'P 1'
_symmetry_Int_Tables_number 1
_symmetry_space_group_name_Hall 'P 1'
loop_
_atom_site_label
_atom_site_type_symbol
_atom_site_fract_x
_atom_site_fract_y
_atom_site_fract_z
Lu1 Lu 0.000 0.000 0.000
Lu2 Lu 0.250 0.250 0.250
Zn1 Zn 0.750 0.750 0.750
Au1 Au 0.500 0.500 0.500
```

***

Which of these has the lowest calculated formation energy? number 3

***

Which value of calculated formation energy does entry 1 give? 0.310 eV/atom